Record 1
# MgMnPd2I, optimized geometry, DFT PBE-GGA
# * calculated total energy: -3.91 eV/atom
# * formation energy from raw total energies: 3.2 eV/f.u.
data_MgMnPd2I
_chemical_formula_sum 'Mg1 Mn1 Pd2 I1'
_cell_length_a 4.7520
_cell_length_b 4.7520
_cell_length_c 5.1108
_cell_angle_alpha 90.00
_cell_angle_beta 90.00
_cell_angle_gamma 90.00
_symmetry_space_group_name_H-M 'P 1'
_symmetry_Int_Tables_number 1
_symmetry_space_group_name_Hall 'P 1'
loop_
_atom_site_label
_atom_site_type_symbol
_atom_site_fract_x
_atom_site_fract_y
_atom_site_fract_z
_atom_site_occupancy
Mg1 Mg 0.0000 0.0000 0.0000 1
Mn1 Mn 0.0000 0.0000 0.5000 1
Pd1 Pd 0.0000 0.5000 0.0000 1
Pd2 Pd 0.5000 0.0000 0.0000 1
I1 I 0.5000 0.5000 0.5000 1

---

Record 2
# RbMgMn2I8, optimized geometry, DFT PBE-GGA
# * calculated total energy: -3.45 eV/atom
# * formation energy from raw total energies: -8.1 eV/f.u.
data_RbMgMn2I8
_chemical_formula_sum 'Rb1 Mg1 Mn2 I8'
_cell_length_a 11.3371
_cell_length_b 11.3371
_cell_length_c 11.3371
_cell_angle_alpha 38.01
_cell_angle_beta 38.01
_cell_angle_gamma 38.01
_symmetry_space_group_name_H-M 'P 1'
_symmetry_Int_Tables_number 1
_symmetry_space_group_name_Hall 'P 1'
loop_
_atom_site_label
_atom_site_type_symbol
_atom_site_fract_x
_atom_site_fract_y
_atom_site_fract_z
_atom_site_occupancy
Rb1 Rb 0.0000 0.0000 0.0000 1
Mg1 Mg 0.5000 0.5000 0.5000 1
Mn1 Mn 0.2456 0.2456 0.2456 1
Mn2 Mn 0.7544 0.7544 0.7544 1
I1 I 0.1269 0.4342 0.7735 1
I2 I 0.2265 0.8731 0.5658 1
I3 I 0.3284 0.3284 0.3284 1
I4 I 0.4342 0.7735 0.1269 1
I5 I 0.5658 0.2265 0.8731 1
I6 I 0.6716 0.6716 0.6716 1
I7 I 0.7735 0.1269 0.4342 1
I8 I 0.8731 0.5658 0.2265 1

---

Record 3
# MgMnSbI2, optimized geometry, DFT PBE-GGA
# * calculated total energy: -3.20 eV/atom
# * formation energy from raw total energies: 2.0 eV/f.u.
data_MgMnSbI2
_chemical_formula_sum 'Mg1 Mn1 Sb1 I2'
_cell_length_a 5.5290
_cell_length_b 5.5290
_cell_length_c 4.9079
_cell_angle_alpha 90.00
_cell_angle_beta 90.00
_cell_angle_gamma 90.00
_symmetry_space_group_name_H-M 'P 1'
_symmetry_Int_Tables_number 1
_symmetry_space_group_name_Hall 'P 1'
loop_
_atom_site_label
_atom_site_type_symbol
_atom_site_fract_x
_atom_site_fract_y
_atom_site_fract_z
_atom_site_occupancy
Mg1 Mg 0.0000 0.0000 0.0000 1
Mn1 Mn 0.5000 0.5000 0.5000 1
Sb1 Sb 0.5000 0.5000 0.0000 1
I1 I 0.0000 0.5000 0.5000 1
I2 I 0.5000 0.0000 0.5000 1

---

Record 4
# MgMnSbI2, optimized geometry, DFT PBE-GGA
# * calculated total energy: -3.22 eV/atom
# * formation energy from raw total energies: 1.9 eV/f.u.
data_MgMnSbI2
_chemical_formula_sum 'Mg1 Mn1 Sb1 I2'
_cell_length_a 5.6235
_cell_length_b 5.6235
_cell_length_c 5.7888
_cell_angle_alpha 90.00
_cell_angle_beta 90.00
_cell_angle_gamma 90.00
_symmetry_space_group_name_H-M 'P 1'
_symmetry_Int_Tables_number 1
_symmetry_space_group_name_Hall 'P 1'
loop_
_atom_site_label
_atom_site_type_symbol
_atom_site_fract_x
_atom_site_fract_y
_atom_site_fract_z
_atom_site_occupancy
Mg1 Mg 0.0000 0.0000 0.0000 1
Mn1 Mn 0.5000 0.5000 0.5000 1
Sb1 Sb 0.0000 0.0000 0.5000 1
I1 I 0.0000 0.5000 0.0000 1
I2 I 0.5000 0.0000 0.0000 1

---

Record 5
# Mg2TiMnI, optimized geometry, DFT PBE-GGA
# * calculated total energy: -3.93 eV/atom
# * formation energy from raw total energies: 2.2 eV/f.u.
data_Mg2TiMnI
_chemical_formula_sum 'Mg2 Ti1 Mn1 I1'
_cell_length_a 5.3159
_cell_length_b 5.3159
_cell_length_c 4.3039
_cell_angle_alpha 90.00
_cell_angle_beta 90.00
_cell_angle_gamma 90.00
_symmetry_space_group_name_H-M 'P 1'
_symmetry_Int_Tables_number 1
_symmetry_space_group_name_Hall 'P 1'
loop_
_atom_site_label
_atom_site_type_symbol
_atom_site_fract_x
_atom_site_fract_y
_atom_site_fract_z
_atom_site_occupancy
Mg1 Mg 0.0000 0.5000 0.0000 1
Mg2 Mg 0.5000 0.0000 0.0000 1
Ti1 Ti 0.0000 0.0000 0.5000 1
Mn1 Mn 0.0000 0.0000 0.0000 1
I1 I 0.5000 0.5000 0.5000 1

---

Record 6
# MgMnZnI2, optimized geometry, DFT PBE-GGA
# * calculated total energy: -2.79 eV/atom
# * formation energy from raw total energies: 1.2 eV/f.u.
data_MgMnZnI2
_chemical_formula_sum 'Mg1 Mn1 Zn1 I2'
_cell_length_a 5.3982
_cell_length_b 5.3982
_cell_length_c 5.3603
_cell_angle_alpha 90.00
_cell_angle_beta 90.00
_cell_angle_gamma 90.00
_symmetry_space_group_name_H-M 'P 1'
_symmetry_Int_Tables_number 1
_symmetry_space_group_name_Hall 'P 1'
loop_
_atom_site_label
_atom_site_type_symbol
_atom_site_fract_x
_atom_site_fract_y
_atom_site_fract_z
_atom_site_occupancy
Mg1 Mg 0.0000 0.0000 0.0000 1
Mn1 Mn 0.0000 0.0000 0.5000 1
Zn1 Zn 0.5000 0.5000 0.0000 1
I1 I 0.0000 0.5000 0.5000 1
I2 I 0.5000 0.0000 0.5000 1

---

Record 7
# MgMo2I, optimized geometry, DFT PBE-GGA
# * calculated total energy: -5.29 eV/atom
# * formation energy from raw total energies: 3.6 eV/f.u.
data_MgMo2I
_chemical_formula_sum 'Mg2 Mo4 I2'
_cell_length_a 10.9299
_cell_length_b 10.9299
_cell_length_c 10.9299
_cell_angle_alpha 159.02
_cell_angle_beta 159.02
_cell_angle_gamma 29.84
_symmetry_space_group_name_H-M 'P 1'
_symmetry_Int_Tables_number 1
_symmetry_space_group_name_Hall 'P 1'
loop_
_atom_site_label
_atom_site_type_symbol
_atom_site_fract_x
_atom_site_fract_y
_atom_site_fract_z
_atom_site_occupancy
Mg1 Mg 0.0000 0.0000 0.0000 1
Mg2 Mg 0.7500 0.2500 0.5000 1
Mo1 Mo 0.0686 0.6250 0.9436 1
Mo2 Mo 0.3750 0.3186 0.4436 1
Mo3 Mo 0.6814 0.1250 0.0564 1
Mo4 Mo 0.8750 0.9314 0.5564 1
I1 I 0.2500 0.7500 0.5000 1
I2 I 0.5000 0.5000 0.0000 1

---

Record 8
# Mg2MoI, optimized geometry, DFT PBE-GGA
# * calculated total energy: -3.12 eV/atom
# * formation energy from raw total energies: 3.1 eV/f.u.
data_Mg2MoI
_chemical_formula_sum 'Mg4 Mo2 I2'
_cell_length_a 6.5053
_cell_length_b 6.5053
_cell_length_c 6.5053
_cell_angle_alpha 102.44
_cell_angle_beta 102.44
_cell_angle_gamma 124.69
_symmetry_space_group_name_H-M 'P 1'
_symmetry_Int_Tables_number 1
_symmetry_space_group_name_Hall 'P 1'
loop_
_atom_site_label
_atom_site_type_symbol
_atom_site_fract_x
_atom_site_fract_y
_atom_site_fract_z
_atom_site_occupancy
Mg1 Mg 0.1156 0.6250 0.9906 1
Mg2 Mg 0.3750 0.3656 0.4906 1
Mg3 Mg 0.6344 0.1250 0.0094 1
Mg4 Mg 0.8750 0.8844 0.5094 1
Mo1 Mo 0.0000 0.0000 0.0000 1
Mo2 Mo 0.7500 0.2500 0.5000 1
I1 I 0.2500 0.7500 0.5000 1
I2 I 0.5000 0.5000 0.0000 1

---

Record 9
# Mg3MoI, optimized geometry, DFT PBE-GGA
# * calculated total energy: -2.58 eV/atom
# * formation energy from raw total energies: 4.3 eV/f.u.
data_Mg3MoI
_chemical_formula_sum 'Mg3 Mo1 I1'
_cell_length_a 5.5333
_cell_length_b 5.5333
_cell_length_c 5.5333
_cell_angle_alpha 90.00
_cell_angle_beta 90.00
_cell_angle_gamma 90.00
_symmetry_space_group_name_H-M 'P 1'
_symmetry_Int_Tables_number 1
_symmetry_space_group_name_Hall 'P 1'
loop_
_atom_site_label
_atom_site_type_symbol
_atom_site_fract_x
_atom_site_fract_y
_atom_site_fract_z
_atom_site_occupancy
Mg1 Mg 0.0000 0.0000 0.5000 1
Mg2 Mg 0.0000 0.5000 0.0000 1
Mg3 Mg 0.5000 0.0000 0.0000 1
Mo1 Mo 0.0000 0.0000 0.0000 1
I1 I 0.5000 0.5000 0.5000 1

---

Record 10
# Mg3MoI, optimized geometry, DFT PBE-GGA
# * calculated total energy: -2.06 eV/atom
# * formation energy from raw total energies: 6.8 eV/f.u.
data_Mg3MoI
_chemical_formula_sum 'Mg3 Mo1 I1'
_cell_length_a 5.4812
_cell_length_b 5.4812
_cell_length_c 5.4812
_cell_angle_alpha 90.00
_cell_angle_beta 90.00
_cell_angle_gamma 90.00
_symmetry_space_group_name_H-M 'P 1'
_symmetry_Int_Tables_number 1
_symmetry_space_group_name_Hall 'P 1'
loop_
_atom_site_label
_atom_site_type_symbol
_atom_site_fract_x
_atom_site_fract_y
_atom_site_fract_z
_atom_site_occupancy
Mg1 Mg 0.0000 0.0000 0.5000 1
Mg2 Mg 0.0000 0.5000 0.0000 1
Mg3 Mg 0.5000 0.0000 0.0000 1
Mo1 Mo 0.5000 0.5000 0.5000 1
I1 I 0.0000 0.0000 0.0000 1

---

Record 11
# MgMoI2, optimized geometry, DFT PBE-GGA
# * calculated total energy: -3.26 eV/atom
# * formation energy from raw total energies: 2.5 eV/f.u.
data_MgMoI2
_chemical_formula_sum 'Mg1 Mo1 I2'
_cell_length_a 5.0339
_cell_length_b 5.0339
_cell_length_c 5.0339
_cell_angle_alpha 60.00
_cell_angle_beta 60.00
_cell_angle_gamma 60.00
_symmetry_space_group_name_H-M 'P 1'
_symmetry_Int_Tables_number 1
_symmetry_space_group_name_Hall 'P 1'
loop_
_atom_site_label
_atom_site_type_symbol
_atom_site_fract_x
_atom_site_fract_y
_atom_site_fract_z
_atom_site_occupancy
Mg1 Mg 0.0000 0.0000 0.0000 1
Mo1 Mo 0.5000 0.5000 0.5000 1
I1 I 0.2500 0.2500 0.2500 1
I2 I 0.7500 0.7500 0.7500 1

---

Record 12
# MgMo2I, optimized geometry, DFT PBE-GGA
# * calculated total energy: -5.20 eV/atom
# * formation energy from raw total energies: 4.0 eV/f.u.
data_MgMo2I
_chemical_formula_sum 'Mg1 Mo2 I1'
_cell_length_a 4.6411
_cell_length_b 4.6411
_cell_length_c 4.6411
_cell_angle_alpha 60.00
_cell_angle_beta 60.00
_cell_angle_gamma 60.00
_symmetry_space_group_name_H-M 'P 1'
_symmetry_Int_Tables_number 1
_symmetry_space_group_name_Hall 'P 1'
loop_
_atom_site_label
_atom_site_type_symbol
_atom_site_fract_x
_atom_site_fract_y
_atom_site_fract_z
_atom_site_occupancy
Mg1 Mg 0.0000 0.0000 0.0000 1
Mo1 Mo 0.2500 0.2500 0.2500 1
Mo2 Mo 0.7500 0.7500 0.7500 1
I1 I 0.5000 0.5000 0.5000 1

---

Record 13
# MgMoI2, optimized geometry, DFT PBE-GGA
# * calculated total energy: -3.17 eV/atom
# * formation energy from raw total energies: 2.8 eV/f.u.
data_MgMoI2
_chemical_formula_sum 'Mg2 Mo2 I4'
_cell_length_a 7.6769
_cell_length_b 7.6769
_cell_length_c 7.6769
_cell_angle_alpha 130.27
_cell_angle_beta 130.27
_cell_angle_gamma 72.97
_symmetry_space_group_name_H-M 'P 1'
_symmetry_Int_Tables_number 1
_symmetry_space_group_name_Hall 'P 1'
loop_
_atom_site_label
_atom_site_type_symbol
_atom_site_fract_x
_atom_site_fract_y
_atom_site_fract_z
_atom_site_occupancy
Mg1 Mg 0.0000 0.0000 0.0000 1
Mg2 Mg 0.7500 0.2500 0.5000 1
Mo1 Mo 0.2500 0.7500 0.5000 1
Mo2 Mo 0.5000 0.5000 0.0000 1
I1 I 0.1485 0.6250 0.0235 1
I2 I 0.3750 0.3985 0.5235 1
I3 I 0.6015 0.1250 0.9765 1
I4 I 0.8750 0.8515 0.4765 1

---

Record 14
# Mg2MoI, optimized geometry, DFT PBE-GGA
# * calculated total energy: -2.98 eV/atom
# * formation energy from raw total energies: 3.6 eV/f.u.
data_Mg2MoI
_chemical_formula_sum 'Mg2 Mo1 I1'
_cell_length_a 5.1262
_cell_length_b 5.1262
_cell_length_c 5.1262
_cell_angle_alpha 60.00
_cell_angle_beta 60.00
_cell_angle_gamma 60.00
_symmetry_space_group_name_H-M 'P 1'
_symmetry_Int_Tables_number 1
_symmetry_space_group_name_Hall 'P 1'
loop_
_atom_site_label
_atom_site_type_symbol
_atom_site_fract_x
_atom_site_fract_y
_atom_site_fract_z
_atom_site_occupancy
Mg1 Mg 0.2500 0.2500 0.2500 1
Mg2 Mg 0.7500 0.7500 0.7500 1
Mo1 Mo 0.0000 0.0000 0.0000 1
I1 I 0.5000 0.5000 0.5000 1

---

Record 15
# MgMo3I, optimized geometry, DFT PBE-GGA
# * calculated total energy: -5.28 eV/atom
# * formation energy from raw total energies: 9.3 eV/f.u.
data_MgMo3I
_chemical_formula_sum 'Mg1 Mo3 I1'
_cell_length_a 4.8873
_cell_length_b 4.8873
_cell_length_c 4.8873
_cell_angle_alpha 90.00
_cell_angle_beta 90.00
_cell_angle_gamma 90.00
_symmetry_space_group_name_H-M 'P 1'
_symmetry_Int_Tables_number 1
_symmetry_space_group_name_Hall 'P 1'
loop_
_atom_site_label
_atom_site_type_symbol
_atom_site_fract_x
_atom_site_fract_y
_atom_site_fract_z
_atom_site_occupancy
Mg1 Mg 0.0000 0.0000 0.0000 1
Mo1 Mo 0.0000 0.5000 0.5000 1
Mo2 Mo 0.5000 0.0000 0.5000 1
Mo3 Mo 0.5000 0.5000 0.0000 1
I1 I 0.5000 0.5000 0.5000 1

---

Record 16
# MgMoI2N, optimized geometry, DFT PBE-GGA
# * calculated total energy: -4.60 eV/atom
# * formation energy from raw total energies: 0.8 eV/f.u.
data_MgMoI2N
_chemical_formula_sum 'Mg1 Mo1 I2 N1'
_cell_length_a 5.6801
_cell_length_b 5.6801
_cell_length_c 3.8511
_cell_angle_alpha 90.00
_cell_angle_beta 90.00
_cell_angle_gamma 90.00
_symmetry_space_group_name_H-M 'P 1'
_symmetry_Int_Tables_number 1
_symmetry_space_group_name_Hall 'P 1'
loop_
_atom_site_label
_atom_site_type_symbol
_atom_site_fract_x
_atom_site_fract_y
_atom_site_fract_z
_atom_site_occupancy
Mg1 Mg 0.0000 0.0000 0.0000 1
Mo1 Mo 0.5000 0.5000 0.5000 1
I1 I 0.0000 0.5000 0.5000 1
I2 I 0.5000 0.0000 0.5000 1
N1 N 0.5000 0.5000 0.0000 1

---

Record 17
# MgMoI2N, optimized geometry, DFT PBE-GGA
# * calculated total energy: -3.70 eV/atom
# * formation energy from raw total energies: 5.3 eV/f.u.
data_MgMoI2N
_chemical_formula_sum 'Mg1 Mo1 I2 N1'
_cell_length_a 5.7374
_cell_length_b 5.7374
_cell_length_c 3.9236
_cell_angle_alpha 90.00
_cell_angle_beta 90.00
_cell_angle_gamma 90.00
_symmetry_space_group_name_H-M 'P 1'
_symmetry_Int_Tables_number 1
_symmetry_space_group_name_Hall 'P 1'
loop_
_atom_site_label
_atom_site_type_symbol
_atom_site_fract_x
_atom_site_fract_y
_atom_site_fract_z
_atom_site_occupancy
Mg1 Mg 0.0000 0.0000 0.0000 1
Mo1 Mo 0.5000 0.5000 0.5000 1
I1 I 0.0000 0.5000 0.0000 1
I2 I 0.5000 0.0000 0.0000 1
N1 N 0.0000 0.0000 0.5000 1

---

Record 18
# MgMoIN2, optimized geometry, DFT PBE-GGA
# * calculated total energy: -4.27 eV/atom
# * formation energy from raw total energies: 9.3 eV/f.u.
data_MgMoIN2
_chemical_formula_sum 'Mg1 Mo1 I1 N2'
_cell_length_a 4.0092
_cell_length_b 4.0092
_cell_length_c 5.3448
_cell_angle_alpha 90.00
_cell_angle_beta 90.00
_cell_angle_gamma 90.00
_symmetry_space_group_name_H-M 'P 1'
_symmetry_Int_Tables_number 1
_symmetry_space_group_name_Hall 'P 1'
loop_
_atom_site_label
_atom_site_type_symbol
_atom_site_fract_x
_atom_site_fract_y
_atom_site_fract_z
_atom_site_occupancy
Mg1 Mg 0.0000 0.0000 0.0000 1
Mo1 Mo 0.5000 0.5000 0.5000 1
I1 I 0.0000 0.0000 0.5000 1
N1 N 0.0000 0.5000 0.0000 1
N2 N 0.5000 0.0000 0.0000 1

---

Record 19
# MgMoIN2, optimized geometry, DFT PBE-GGA
# * calculated total energy: -5.68 eV/atom
# * formation energy from raw total energies: 2.2 eV/f.u.
data_MgMoIN2
_chemical_formula_sum 'Mg1 Mo1 I1 N2'
_cell_length_a 3.9994
_cell_length_b 3.9994
_cell_length_c 5.7765
_cell_angle_alpha 90.00
_cell_angle_beta 90.00
_cell_angle_gamma 90.00
_symmetry_space_group_name_H-M 'P 1'
_symmetry_Int_Tables_number 1
_symmetry_space_group_name_Hall 'P 1'
loop_
_atom_site_label
_atom_site_type_symbol
_atom_site_fract_x
_atom_site_fract_y
_atom_site_fract_z
_atom_site_occupancy
Mg1 Mg 0.0000 0.0000 0.0000 1
Mo1 Mo 0.5000 0.5000 0.5000 1
I1 I 0.5000 0.5000 0.0000 1
N1 N 0.0000 0.5000 0.5000 1
N2 N 0.5000 0.0000 0.5000 1

---

Calculated DOS(E_F) in order - 0.80 0.79 0.91 0.47 1.02 0.46 0.87 0.60 0.77 1.00 0.86 1.31 0.90 0.81 1.11 0.39 1.67 1.20 0.57 states/eV per atom